Record 1
VASP calculation (PBE-GGA) on an optimized crystal structure of Sr3Tl2Zn.

a b c (Å): 9.022 9.022 4.065
angles (deg): 90.00 90.00 143.16
Sites, in units of the cell vectors:
Sr1 0.000 0.000 0.000
Sr2 0.339 0.661 0.000
Sr3 0.661 0.339 0.000
Tl1 0.171 0.829 0.500
Tl2 0.829 0.171 0.500
Zn1 0.500 0.500 0.500

Record 2
VASP calculation (PBE-GGA) on an optimized crystal structure of Sr4TlZn2.

a b c (Å): 9.720 9.720 9.720
angles (deg): 33.59 33.59 33.59
Sites, in units of the cell vectors:
Sr1 0.123 0.123 0.123
Sr2 0.375 0.375 0.375
Sr3 0.625 0.625 0.625
Sr4 0.877 0.877 0.877
Tl1 0.500 0.500 0.500
Zn1 0.248 0.248 0.248
Zn2 0.752 0.752 0.752

Record 3
VASP calculation (PBE-GGA) on an optimized crystal structure of SrTlZn2.

a b c (Å): 3.958 3.878 6.870
angles (deg): 90.00 90.21 90.00
Sites, in units of the cell vectors:
Sr1 0.000 0.000 0.000
Tl1 0.000 0.000 0.500
Zn1 0.498 0.500 0.709
Zn2 0.502 0.500 0.291

Record 4
VASP calculation (PBE-GGA) on an optimized crystal structure of Sr3Tl3Zn2.

a b c (Å): 6.489 6.489 16.667
angles (deg): 90.00 90.00 136.32
Sites, in units of the cell vectors:
Sr1 0.084 0.916 0.606
Sr2 0.084 0.916 0.894
Sr3 0.363 0.637 0.750
Sr4 0.637 0.363 0.250
Sr5 0.916 0.084 0.106
Sr6 0.916 0.084 0.394
Tl1 0.349 0.651 0.250
Tl2 0.373 0.627 0.539
Tl3 0.373 0.627 0.961
Tl4 0.627 0.373 0.039
Tl5 0.627 0.373 0.461
Tl6 0.651 0.349 0.750
Zn1 0.210 0.790 0.105
Zn2 0.210 0.790 0.395
Zn3 0.790 0.210 0.605
Zn4 0.790 0.210 0.895

Record 5
VASP calculation (PBE-GGA) on an optimized crystal structure of Sr12TlZn6.

a b c (Å): 9.755 9.755 9.755
angles (deg): 109.47 109.47 109.47
Sites, in units of the cell vectors:
Sr1 0.108 0.293 0.815
Sr2 0.185 0.478 0.293
Sr3 0.185 0.892 0.707
Sr4 0.293 0.185 0.478
Sr5 0.293 0.815 0.108
Sr6 0.478 0.293 0.185
Sr7 0.522 0.707 0.815
Sr8 0.707 0.185 0.892
Sr9 0.707 0.815 0.522
Sr10 0.815 0.108 0.293
Sr11 0.815 0.522 0.707
Sr12 0.892 0.707 0.185
Tl1 0.000 0.000 0.000
Zn1 0.116 0.500 0.616
Zn2 0.384 0.884 0.500
Zn3 0.500 0.384 0.884
Zn4 0.500 0.616 0.116
Zn5 0.616 0.116 0.500
Zn6 0.884 0.500 0.384

Record 6
VASP calculation (PBE-GGA) on an optimized crystal structure of Sr3TlZn2.

a b c (Å): 3.992 3.992 11.874
angles (deg): 90.00 90.00 90.00
Sites, in units of the cell vectors:
Sr1 0.000 0.000 0.000
Sr2 0.000 0.000 0.324
Sr3 0.000 0.000 0.676
Tl1 0.500 0.500 0.500
Zn1 0.500 0.500 0.165
Zn2 0.500 0.500 0.835

Record 7
VASP calculation (PBE-GGA) on an optimized crystal structure of Sr4Tl3Zn.

a b c (Å): 4.048 4.048 16.322
angles (deg): 90.00 90.00 90.00
Sites, in units of the cell vectors:
Sr1 0.000 0.000 0.117
Sr2 0.000 0.000 0.372
Sr3 0.000 0.000 0.628
Sr4 0.000 0.000 0.883
Tl1 0.500 0.500 0.246
Tl2 0.500 0.500 0.500
Tl3 0.500 0.500 0.754
Zn1 0.500 0.500 0.000

Record 8
VASP calculation (PBE-GGA) on an optimized crystal structure of SrTlZn2.

a b c (Å): 10.268 10.268 10.268
angles (deg): 151.60 151.60 40.60
Sites, in units of the cell vectors:
Sr1 0.375 0.625 0.750
Sr2 0.625 0.375 0.250
Tl1 0.125 0.875 0.250
Tl2 0.875 0.125 0.750
Zn1 0.000 0.000 0.000
Zn2 0.000 0.000 0.500
Zn3 0.000 0.500 0.000
Zn4 0.500 0.000 0.500

Record 9
VASP calculation (PBE-GGA) on an optimized crystal structure of Sr6TlZn5.

a b c (Å): 9.667 9.667 5.586
angles (deg): 106.75 106.75 120.05
Sites, in units of the cell vectors:
Sr1 0.078 0.416 0.747
Sr2 0.244 0.244 0.244
Sr3 0.416 0.078 0.747
Sr4 0.584 0.922 0.253
Sr5 0.756 0.756 0.756
Sr6 0.922 0.584 0.253
Tl1 0.500 0.500 0.000
Zn1 0.000 0.000 0.500
Zn2 0.166 0.834 0.000
Zn3 0.336 0.664 0.500
Zn4 0.664 0.336 0.500
Zn5 0.834 0.166 0.000

Record 10
VASP calculation (PBE-GGA) on an optimized crystal structure of Sr6Tl2Zn.

a b c (Å): 7.001 9.651 12.943
angles (deg): 90.00 121.62 90.00
Sites, in units of the cell vectors:
Sr1 0.057 0.178 0.439
Sr2 0.057 0.322 0.939
Sr3 0.316 0.669 0.433
Sr4 0.316 0.831 0.933
Sr5 0.382 0.034 0.275
Sr6 0.382 0.466 0.775
Sr7 0.618 0.534 0.225
Sr8 0.618 0.966 0.725
Sr9 0.684 0.169 0.067
Sr10 0.684 0.331 0.567
Sr11 0.943 0.678 0.061
Sr12 0.943 0.822 0.561
Tl1 0.181 0.125 0.746
Tl2 0.181 0.375 0.246
Tl3 0.819 0.625 0.754
Tl4 0.819 0.875 0.254
Zn1 0.000 0.000 0.000
Zn2 0.000 0.500 0.500

Record 11
VASP calculation (PBE-GGA) on an optimized crystal structure of Sr8Tl2Zn.

a b c (Å): 10.653 10.653 8.044
angles (deg): 107.79 107.79 31.55
Sites, in units of the cell vectors:
Sr1 0.030 0.030 0.291
Sr2 0.205 0.205 0.808
Sr3 0.336 0.336 0.539
Sr4 0.404 0.404 0.057
Sr5 0.596 0.596 0.943
Sr6 0.664 0.664 0.461
Sr7 0.795 0.795 0.192
Sr8 0.970 0.970 0.709
Tl1 0.182 0.182 0.206
Tl2 0.818 0.818 0.794
Zn1 0.500 0.500 0.500

Record 12
VASP calculation (PBE-GGA) on an optimized crystal structure of SrZrTlZn2.

a b c (Å): 5.119 5.119 5.983
angles (deg): 90.00 90.00 90.00
Sites, in units of the cell vectors:
Sr1 0.000 0.000 0.000
Zr1 0.500 0.500 0.000
Tl1 0.000 0.000 0.500
Zn1 0.000 0.500 0.500
Zn2 0.500 0.000 0.500

Record 13
VASP calculation (PBE-GGA) on an optimized crystal structure of Sr4ZrTl.

a b c (Å): 7.028 7.028 7.028
angles (deg): 60.00 60.00 60.00
Sites, in units of the cell vectors:
Sr1 0.125 0.125 0.125
Sr2 0.125 0.125 0.624
Sr3 0.125 0.624 0.125
Sr4 0.624 0.125 0.125
Zr1 0.500 0.500 0.500
Tl1 0.750 0.750 0.750

Record 14
VASP calculation (PBE-GGA) on an optimized crystal structure of SrZrTl3.

a b c (Å): 5.639 5.639 5.639
angles (deg): 90.00 90.00 90.00
Sites, in units of the cell vectors:
Sr1 0.000 0.000 0.000
Zr1 0.500 0.500 0.500
Tl1 0.000 0.500 0.500
Tl2 0.500 0.000 0.500
Tl3 0.500 0.500 0.000

Record 15
VASP calculation (PBE-GGA) on an optimized crystal structure of SrTm5.

a b c (Å): 9.563 9.563 3.728
angles (deg): 90.00 90.00 144.39
Sites, in units of the cell vectors:
Sr1 0.000 0.000 0.000
Tm1 0.189 0.811 0.500
Tm2 0.347 0.653 0.000
Tm3 0.500 0.500 0.500
Tm4 0.653 0.347 0.000
Tm5 0.811 0.189 0.500

Record 16
VASP calculation (PBE-GGA) on an optimized crystal structure of Sr3Tm.

a b c (Å): 3.758 3.917 12.735
angles (deg): 90.00 90.00 90.00
Sites, in units of the cell vectors:
Sr1 0.000 0.000 0.000
Sr2 0.000 0.500 0.283
Sr3 0.500 0.500 0.742
Tm1 0.500 0.000 0.495

Record 17
VASP calculation (PBE-GGA) on an optimized crystal structure of SrTm3.

a b c (Å): 3.628 5.816 6.483
angles (deg): 90.00 90.00 90.00
Sites, in units of the cell vectors:
Sr1 0.000 0.000 0.000
Tm1 0.000 0.500 0.659
Tm2 0.500 0.000 0.498
Tm3 0.500 0.500 0.193

Record 18
VASP calculation (PBE-GGA) on an optimized crystal structure of Sr3Tm.

a b c (Å): 8.043 8.043 6.560
angles (deg): 90.00 90.00 120.00
Sites, in units of the cell vectors:
Sr1 0.172 0.344 0.250
Sr2 0.172 0.828 0.250
Sr3 0.344 0.172 0.750
Sr4 0.656 0.828 0.250
Sr5 0.828 0.172 0.750
Sr6 0.828 0.656 0.750
Tm1 0.333 0.667 0.750
Tm2 0.667 0.333 0.250

Record 19
VASP calculation (PBE-GGA) on an optimized crystal structure of Sr6Tm.

a b c (Å): 8.909 8.909 8.909
angles (deg): 109.47 109.47 109.47
Sites, in units of the cell vectors:
Sr1 0.250 0.500 0.750
Sr2 0.250 0.750 0.500
Sr3 0.500 0.250 0.750
Sr4 0.500 0.750 0.250
Sr5 0.750 0.250 0.500
Sr6 0.750 0.500 0.250
Tm1 0.000 0.000 0.000

Record 20
VASP calculation (PBE-GGA) on an optimized crystal structure of SrTm4.

a b c (Å): 5.584 5.584 5.584
angles (deg): 90.00 90.00 90.00
Sites, in units of the cell vectors:
Sr1 0.000 0.000 0.000
Tm1 0.000 0.000 0.500
Tm2 0.000 0.500 0.000
Tm3 0.500 0.000 0.000
Tm4 0.500 0.500 0.500

Record 21
VASP calculation (PBE-GGA) on an optimized crystal structure of SrTm2Zn.

a b c (Å): 3.621 3.621 9.334
angles (deg): 90.00 90.00 90.00
Sites, in units of the cell vectors:
Sr1 0.000 0.000 0.000
Tm1 0.500 0.500 0.323
Tm2 0.500 0.500 0.677
Zn1 0.000 0.000 0.500

Record 22
VASP calculation (PBE-GGA) on an optimized crystal structure of SrTmZn.

a b c (Å): 4.920 4.920 7.850
angles (deg): 90.00 90.00 90.00
Sites, in units of the cell vectors:
Sr1 0.250 0.250 0.136
Sr2 0.750 0.750 0.864
Tm1 0.250 0.750 0.500
Tm2 0.750 0.250 0.500
Zn1 0.250 0.250 0.713
Zn2 0.750 0.750 0.287

Record 23
VASP calculation (PBE-GGA) on an optimized crystal structure of SrTm2Zn3.

a b c (Å): 3.620 3.620 10.997
angles (deg): 90.00 90.00 90.00
Sites, in units of the cell vectors:
Sr1 0.000 0.000 0.000
Tm1 0.000 0.000 0.344
Tm2 0.000 0.000 0.656
Zn1 0.500 0.500 0.200
Zn2 0.500 0.500 0.500
Zn3 0.500 0.500 0.800

Record 24
VASP calculation (PBE-GGA) on an optimized crystal structure of SrTmZn.

a b c (Å): 7.115 7.115 7.115
angles (deg): 149.80 149.80 43.24
Sites, in units of the cell vectors:
Sr1 0.000 0.000 0.000
Tm1 0.273 0.273 0.000
Zn1 0.666 0.666 0.000

Record 25
VASP calculation (PBE-GGA) on an optimized crystal structure of SrTmZn2.

a b c (Å): 3.705 3.705 7.383
angles (deg): 90.00 90.00 90.00
Sites, in units of the cell vectors:
Sr1 0.000 0.000 0.000
Tm1 0.000 0.000 0.500
Zn1 0.500 0.500 0.295
Zn2 0.500 0.500 0.705

Total moment (Bohr magnetons per cell)
0.00; 0.00; 0.00; 0.00; 0.55; 0.00; 0.00; 0.00; 0.00; 0.00; 0.00; 2.05; 4.43; 0.00; 0.00; 0.39; 1.37; 0.96; 0.04; 0.00; 0.00; 0.00; 0.00; 0.00; 0.00
DFT formation energy (meV/atom)
-340.3; -201.3; -63.0; -313.2; -148.9; -259.7; -364.4; -7.8; -221.2; -209.6; -199.6; 873.7; 655.2; 88.1; 202.4; 295.4; 195.3; 216.9; 1313.7; 1057.1; -48.8; -117.8; -283.7; -99.6; -255.8
D(E_F) (states/eV/f.u.)
4.26; 4.26; 2.05; 5.71; 23.10; 4.47; 5.70; 2.03; 7.98; 7.73; 9.09; 4.44; 8.94; 4.79; 10.69; 5.43; 6.35; 7.10; 18.20; 4.97; 5.08; 3.65; 4.42; 3.30; 2.63